A plane-wave DFT calculation with GGA+U was carried out for UCrSiO6 after structural relaxation.

The structure in extended XYZ format:
```
18
Lattice="5.154 0.000 0.000 -2.577 4.464 0.000 0.000 0.000 8.654" Properties=species:S:1:pos:R:3 pbc="T T T"
O 1.875 2.825 1.142
Si 2.577 1.488 2.164
O -0.703 1.639 5.469
O 1.068 1.428 3.185
U 0.000 2.976 2.164
O 1.509 3.036 5.469
Si 0.000 2.976 6.491
O 1.771 0.211 1.142
O -0.807 4.253 5.469
O 3.384 0.211 3.185
O 4.086 1.428 1.142
O 0.807 4.253 7.512
Cr 0.000 0.000 0.000
O 3.280 2.825 3.185
O 0.703 1.639 7.512
Cr 0.000 0.000 4.327
O -1.509 3.036 7.512
U 2.577 1.488 6.491
```

Calculated values
- raw total energy (eV per atom) = -8.454
- symmetry = P-31c
- DOS at the Fermi energy (states/eV per atom) = 0.577